PBE Zn2B, relaxed; crystal system = orthorhombic; symmetry = Cmcm, No. 63
1.0
-7.3424 1.5194 -8.9957
-1.9058 -0.2662 1.5106
-0.0195 5.5175 0.9478
Zn B
8 4
Direct
0.9903 0.0000 0.0000
0.4541 0.0000 0.5000
0.2605 0.5000 0.5000
0.1840 0.5000 0.0000
0.7605 0.0000 0.5000
0.6840 0.0000 0.0000
0.9541 0.5000 0.5000
0.4903 0.5000 0.0000
0.1073 0.0000 0.5000
0.6073 0.5000 0.5000
0.3372 0.0000 0.0000
0.8372 0.5000 0.0000

***

PBE BaAgBi2, relaxed; crystal system = cubic; symmetry = F-43m, No. 216
1.0
0.0000 3.9879 3.9879
3.9879 0.0000 3.9879
3.9879 3.9879 0.0000
Ag Bi Ba
1 2 1
Direct
0.7500 0.7500 0.7500
0.2500 0.2500 0.2500
0.5000 0.5000 0.5000
0.0000 0.0000 0.0000

***

PBE DyCo, relaxed; formation energy = 0.907 eV/atom; crystal system = cubic; symmetry = F-43m, No. 216
1.0
0.0000 2.9293 2.9293
2.9293 0.0000 2.9293
2.9293 2.9293 0.0000
Dy Co
1 1
Direct
0.2500 0.2500 0.2500
0.0000 0.0000 0.0000

***

PBE ErHfPd, relaxed; formation energy = -0.207 eV/atom; crystal system = cubic; symmetry = F-43m, No. 216
1.0
0.0000 3.3104 3.3104
3.3104 0.0000 3.3104
3.3104 3.3104 0.0000
Hf Pd Er
1 1 1
Direct
0.0000 0.0000 0.0000
0.2500 0.2500 0.2500
0.5000 0.5000 0.5000

***

PBE ZrIn2Sn, relaxed; crystal system = cubic; symmetry = F-43m, No. 216
1.0
-2.2179 -4.6686 0.0635
-1.6517 -2.0162 4.4639
-5.0676 -0.4416 0.9183
In Zr Sn
2 1 1
Direct
0.2500 0.2500 0.2500
0.0000 0.0000 0.0000
0.5000 0.5000 0.5000
0.7500 0.7500 0.7500

***

PBE CsPbAuSeS2, relaxed; crystal system = orthorhombic; symmetry = Cmcm, No. 63
1.0
2.2588 -7.4025 0.0000
2.2588 7.4025 0.0000
0.0000 0.0000 11.6432
S Pb Au Cs Se
4 2 2 2 2
Direct
0.1198 0.8802 0.5514
0.1198 0.8802 0.9486
0.8802 0.1198 0.0514
0.8802 0.1198 0.4486
0.5000 0.5000 0.0000
0.5000 0.5000 0.5000
0.9201 0.0799 0.2500
0.0799 0.9201 0.7500
0.7752 0.2248 0.7500
0.2248 0.7752 0.2500
0.5142 0.4858 0.2500
0.4858 0.5142 0.7500

***

PBE HoZnIn, relaxed; crystal system = cubic; symmetry = F-43m, No. 216
1.0
0.0000 3.2964 3.2964
3.2964 0.0000 3.2964
3.2964 3.2964 0.0000
In Ho Zn
1 1 1
Direct
0.7500 0.7500 0.7500
0.2500 0.2500 0.2500
0.0000 0.0000 0.0000

***

PBE K2LiZnF6, relaxed; crystal system = trigonal; symmetry = R-3m, No. 166; offset from the most stable computed form = 14.3 meV/atom
1.0
3.3914 -0.6967 9.2027
7.8133 -0.9968 5.8851
5.5791 3.9253 7.0811
F Zn K Li
12 2 4 2
Direct
0.1337 0.6201 0.6201
0.6201 0.1337 0.6201
0.6201 0.6201 0.1337
0.2904 0.7944 0.7944
0.7944 0.7944 0.2904
0.8663 0.3799 0.3799
0.3799 0.3799 0.8663
0.3799 0.8663 0.3799
0.7096 0.2056 0.2056
0.2056 0.7096 0.2056
0.7944 0.2904 0.7944
0.2056 0.2056 0.7096
0.0000 0.0000 0.0000
0.5000 0.5000 0.5000
0.2876 0.2876 0.2876
0.1259 0.1259 0.1259
0.8741 0.8741 0.8741
0.7124 0.7124 0.7124
0.5917 0.5917 0.5917
0.4083 0.4083 0.4083

***

PBE Ho2TmFe7Co2, relaxed; formation energy = -0.113 eV/atom; crystal system = trigonal; symmetry = R-3m, No. 166
1.0
2.5073 1.4476 8.0991
-2.5073 1.4476 8.0991
0.0000 -2.8952 8.0991
Ho Fe Co Tm
2 7 2 1
Direct
0.1419 0.1419 0.1419
0.8581 0.8581 0.8581
0.4189 0.9177 0.4189
0.5811 0.5811 0.0823
0.5000 0.5000 0.5000
0.5811 0.0823 0.5811
0.4189 0.4189 0.9177
0.9177 0.4189 0.4189
0.0823 0.5811 0.5811
0.6674 0.6674 0.6674
0.3326 0.3326 0.3326
0.0000 0.0000 0.0000

***

PBE DyErAl4Ni2, relaxed; crystal system = orthorhombic; symmetry = Amm2, No. 38
1.0
-0.2339 -6.8032 0.9082
2.8479 0.5209 4.6353
-1.1423 0.7458 5.2921
Ni Dy Al Er
2 1 4 1
Direct
0.5000 0.7158 0.7158
0.0000 0.2842 0.2842
0.5000 0.4386 0.4386
0.6955 0.1566 0.1566
0.3045 0.1566 0.1566
0.8047 0.8434 0.8434
0.1953 0.8434 0.8434
0.0000 0.5614 0.5614

***

PBE SrMgAlPt2, relaxed; crystal system = tetragonal; symmetry = I-4m2, No. 119
1.0
-2.4567 -5.4065 2.6482
-1.1717 -0.8365 6.3408
-0.9669 4.2034 -4.8657
Sr Mg Al Pt
1 1 1 2
Direct
0.7500 0.2500 0.5000
0.5000 0.5000 0.0000
0.0000 0.0000 0.0000
0.1305 0.6305 0.5000
0.3695 0.8695 0.5000

***

PBE LiZrBPt, relaxed; crystal system = cubic; symmetry = F-43m, No. 216; offset from the most stable computed form = 0.0 meV/atom
1.0
-1.9846 1.6546 3.2810
0.0120 4.1359 0.5795
-3.5045 2.1987 -0.5706
Zr B Li Pt
1 1 1 1
Direct
0.0000 0.0000 0.0000
0.2500 0.2500 0.2500
0.7500 0.7500 0.7500
0.5000 0.5000 0.5000

***

Number 1: VASP energy -28.29 eV for the cell shown. Number 2: VASP energy -13.79 eV for the cell shown. Number 3: VASP energy -9.89 eV for the cell shown. Number 4: VASP energy -20.32 eV for the cell shown. Number 5: VASP energy -17.37 eV for the cell shown. Number 6: VASP energy -43.76 eV for the cell shown. Number 7: VASP energy -9.73 eV for the cell shown. Number 8: VASP energy -81.35 eV for the cell shown. Number 9: VASP energy -87.36 eV for the cell shown. Number 10: VASP energy -40.45 eV for the cell shown. Number 11: VASP energy -23.57 eV for the cell shown. Number 12: VASP energy -24.48 eV for the cell shown.